[1]
DFT (PBE-GGA) results for a relaxed structure of Ag2Pd2Pt.

Values from the calculation:
Calculated density (g/cm³): 12.69
Energy above the most stable polymorph in this dataset (eV per atom): 0.008
Formation enthalpy at 0 K (eV/atom): 0.00
SG: No. 63

```
Ag2Pd2Pt
1.0
2.014 -10.265 0.000
2.014 10.265 0.000
0.000 0.000 3.949
Ag Pd Pt
4 4 2
Cartesian
2.014 9.175 2.961
2.014 1.089 2.961
2.014 -1.089 0.987
2.014 -9.175 0.987
2.014 7.116 0.987
2.014 5.132 2.961
2.014 -5.132 0.987
2.014 -7.116 2.961
2.014 3.186 0.987
2.014 -3.186 2.961
```

[2]
DFT (PBE-GGA) results for a relaxed structure of Sc2In.

Values from the calculation:
Calculated density (g/cm³): 4.90
Formation enthalpy at 0 K (eV/atom): -0.38
SG: No. 194

```
Sc2In
1.0
5.047 0.000 0.000
-2.523 4.370 0.000
0.000 0.000 6.289
Sc In
4 2
Cartesian
0.000 0.000 0.000
0.000 0.000 3.145
0.000 2.914 1.572
2.523 1.457 4.717
0.000 2.914 4.717
2.523 1.457 1.572
```

[3]
DFT (PBE-GGA) results for a relaxed structure of Dy2AlCr.

Values from the calculation:
Calculated density (g/cm³): 7.16
Energy above the most stable polymorph in this dataset (eV per atom): 0.000
Formation enthalpy at 0 K (eV/atom): -0.02
SG: No. 225

```
Dy2AlCr
1.0
0.000 3.605 3.605
3.605 0.000 3.605
3.605 3.605 0.000
Dy Al Cr
2 1 1
Cartesian
1.803 1.803 1.803
5.408 5.408 5.408
0.000 0.000 0.000
3.605 3.605 3.605
```

[4]
DFT (PBE-GGA) results for a relaxed structure of Sr2AgRh2.

Values from the calculation:
Calculated density (g/cm³): 6.03
Energy above the most stable polymorph in this dataset (eV per atom): 0.273
Formation enthalpy at 0 K (eV/atom): 0.12
SG: No. 139

```
Sr2AgRh2
1.0
-2.918 2.918 3.954
2.918 -2.918 3.954
2.918 2.918 -3.954
Sr Ag Rh
2 1 2
Cartesian
2.918 0.000 1.977
0.000 2.918 1.977
0.000 0.000 0.000
0.000 0.000 2.720
0.000 0.000 5.188
```

[5]
DFT (PBE-GGA) results for a relaxed structure of Mg2Al2Re.

Values from the calculation:
Calculated density (g/cm³): 5.58
Energy above the most stable polymorph in this dataset (eV per atom): 0.311
Formation enthalpy at 0 K (eV/atom): 0.58
SG: No. 127

```
Mg2Al2Re
1.0
6.975 0.000 0.000
0.000 6.975 0.000
0.000 0.000 3.536
Mg Al Re
4 4 2
Cartesian
0.970 2.517 0.000
2.517 6.005 0.000
4.457 0.970 0.000
6.005 4.457 0.000
1.147 4.634 1.768
2.340 1.147 1.768
4.634 5.827 1.768
5.827 2.340 1.768
0.000 0.000 0.000
3.487 3.487 0.000
```

[6]
DFT (PBE-GGA) results for a relaxed structure of RbHg2PPb.

Values from the calculation:
Calculated density (g/cm³): 5.68
Formation enthalpy at 0 K (eV/atom): 0.86
SG: No. 123

```
RbHg2PPb
1.0
6.020 0.000 0.000
0.000 6.020 0.000
0.000 0.000 5.845
Rb Hg P Pb
1 2 1 1
Cartesian
0.000 0.000 0.000
0.000 3.010 0.000
3.010 0.000 0.000
0.000 0.000 2.923
3.010 3.010 2.923
```

[7]
DFT (PBE-GGA) results for a relaxed structure of Tb7InSi5.

Values from the calculation:
Calculated density (g/cm³): 7.20
SG: No. 44
Formation energy without anion corrections (kJ/mol of formula units): -536

```
Tb7InSi5
1.0
-2.953 5.405 4.942
2.953 -5.405 4.942
2.953 5.405 -4.942
Tb In Si
7 1 5
Cartesian
0.000 0.000 0.000
2.953 1.902 1.528
0.000 0.000 3.660
0.000 3.597 0.960
0.000 7.212 0.960
0.000 5.405 3.520
0.000 3.502 6.469
0.000 0.000 6.750
1.717 2.600 -1.150
4.188 2.600 -1.150
2.953 0.000 3.658
-1.236 2.805 3.792
1.236 2.805 3.792
```

[8]
DFT (PBE-GGA) results for a relaxed structure of Ac2GaGeN.

Values from the calculation:
Calculated density (g/cm³): 8.23
SG: No. 11
Formation energy without anion corrections (kJ/mol of formula units): -383

```
Ac2GaGeN
1.0
6.844 0.000 0.000
0.000 4.144 0.000
-3.164 0.000 8.683
Ac Ga Ge N
4 2 2 2
Cartesian
0.195 1.036 3.382
-1.583 1.036 8.419
5.263 3.108 0.264
3.485 3.108 5.301
2.372 3.108 2.322
1.309 1.036 6.362
-0.149 3.108 6.179
3.830 1.036 2.504
0.649 3.108 1.340
3.031 1.036 7.343
```